[1]
VASP calculation (PBE) on a relaxed structure of Ta2VMo4.

Output
Theoretical density   11.33 g/cm3
DOS(E_F)   1.01 states/eV per atom
Raw total energy   -150.11 eV/cell

a = 3.1174 Å, b = 24.1451 Å, c = 3.1035 Å
α = 90.00°, β = 90.00°, γ = 90.00°
Closest atoms and distances in Å follow each position.
Space group Cmmm (No. 65)
Unique sites:
Ta: 0.0000 0.2010 0.0000  4 Mo 2.81, 6 Ta 2.83-3.12
V: 0.0000 0.5000 0.5000  8 Mo 2.69
Mo: 0.0000 0.0638 0.0000  4 V 2.69, 4 Mo 2.70
Mo: 0.0000 0.3715 0.5000  4 Mo 2.70, 4 Ta 2.81

---

[2]
VASP calculation (PBE) on a relaxed structure of TaV6Mo2W2.

Output
Theoretical density   10.09 g/cm3
DOS(E_F)   0.82 states/eV per atom
Raw total energy   -323.97 eV/cell

a = 5.2842 Å, b = 5.2842 Å, c = 21.3678 Å
α = 90.00°, β = 90.00°, γ = 120.00°
Closest atoms and distances in Å follow each position.
Space group R-3m (No. 166, hexagonal axes)
Unique sites:
Ta: 0.0000 0.0000 0.0000  6 V 2.81, 6 W 3.07
V: 0.0024 0.5012 0.5558  5 V 2.39-2.66, 1 W 2.51, 2 Mo 2.64
Mo: 0.0000 0.0000 0.4397  1 Mo 2.58, 6 V 2.64, 1 W 2.65
W: 0.0000 0.0000 0.3156  3 V 2.51, 1 Mo 2.65

---

[3]
VASP calculation (PBE) on a relaxed structure of TaV2MoW5.

Output
Theoretical density   14.57 g/cm3
DOS(E_F)   0.99 states/eV per atom
Raw total energy   -408.34 eV/cell

a = 2.9856 Å, b = 15.0660 Å, c = 13.1592 Å
α = 90.00°, β = 90.00°, γ = 90.00°
Closest atoms and distances in Å follow each position.
Space group Cmc2_1 (No. 36)
Unique sites:
Ta: 0.0000 0.0951 0.0000  4 W 2.68-2.75, 2 V 2.87, 2 Ta 2.99
V: 0.0000 0.3416 0.2947  5 W 2.61-2.81
V: 0.0000 0.4349 0.9673  5 W 2.47-2.70
Mo: 0.0000 0.2803 0.6461  4 W 2.55-2.73
W: 0.0000 0.0076 0.8184  3 W 2.62-2.66, 4 V 2.70-2.74, 1 Ta 2.73
W: 0.0000 0.1125 0.6220  1 Mo 2.55, 4 V 2.62-2.81, 2 W 2.83
W: 0.0000 0.1687 0.3097  1 V 2.61, 3 W 2.66-2.74, 2 Mo 2.73
W: 0.0000 0.2712 0.9703  1 V 2.47, 1 Ta 2.68, 2 W 2.74
W: 0.0000 0.4572 0.6650  4 W 2.62-2.83, 1 Mo 2.68, 2 Ta 2.75

---

[4]
VASP calculation (PBE) on a relaxed structure of TaV2Mo6W3.

Output
Theoretical density   12.41 g/cm3
DOS(E_F)   0.40 states/eV per atom
Raw total energy   -269.75 eV/cell

a = 4.4941 Å, b = 9.4551 Å, c = 8.8833 Å
α = 90.00°, β = 90.28°, γ = 90.00°
Closest atoms and distances in Å follow each position.
Space group C2/m (No. 12)
Unique sites:
Ta: 0.0000 0.0000 0.0000  4 Mo 2.72, 4 V 2.76
V: 0.0000 0.3303 0.0000  4 Mo 2.68-2.71, 2 V 2.71, 2 Ta 2.76
Mo: 0.0005 0.1682 0.2482  1 V 2.68, 1 Ta 2.72, 4 Mo 2.73-2.75, 2 W 2.73-2.74
Mo: 0.0005 0.5000 0.2461  2 V 2.71, 2 W 2.75, 4 Mo 2.75
W: 0.0000 0.0000 0.5000  4 W 2.74, 4 Mo 2.74
W: 0.0000 0.3336 0.5000  4 Mo 2.73-2.75, 4 W 2.74-2.75

---

[5]
VASP calculation (PBE) on a relaxed structure of TaV2MoW.

Output
Theoretical density   11.51 g/cm3
DOS(E_F)   1.02 states/eV per atom
Raw total energy   -207.13 eV/cell

a = 3.2068 Å, b = 10.6073 Å, c = 9.5443 Å
α = 90.00°, β = 90.00°, γ = 90.00°
Closest atoms and distances in Å follow each position.
Space group Cmcm (No. 63)
Unique sites:
Ta: 0.0000 0.0496 0.2500  3 W 2.75-3.07, 4 V 2.82, 4 Mo 2.92
V: 0.0000 0.2854 0.5908  1 Mo 2.44, 2 V 2.48, 2 W 2.58
Mo: 0.0000 0.5000 0.0000  2 V 2.44
W: 0.0000 0.3394 0.2500  4 V 2.58, 2 Ta 2.75

---

[6]
VASP calculation (PBE) on a relaxed structure of TaV2Mo6W2.

Output
Theoretical density   11.14 g/cm3
DOS(E_F)   0.93 states/eV per atom
Raw total energy   -233.41 eV/cell

a = 5.3434 Å, b = 7.7659 Å, c = 8.8111 Å
α = 90.00°, β = 91.37°, γ = 90.00°
Closest atoms and distances in Å follow each position.
Space group C2/m (No. 12)
Unique sites:
Ta: 0.0000 0.0000 0.0000  6 V 2.67-2.93, 6 Mo 2.82-2.90
V: 0.0000 0.3436 0.0000  1 V 2.43, 2 Mo 2.51, 1 Ta 2.67
Mo: 0.2263 0.5000 0.7219  4 Mo 2.61-2.85, 1 Ta 2.82, 2 W 2.84
Mo: 0.2442 0.3333 0.2468  1 V 2.51, 2 Mo 2.59-2.61, 1 W 2.59
W: 0.0000 0.1820 0.5000  6 Mo 2.59-2.86, 3 W 2.83-2.87

---

[7]
VASP calculation (PBE) on a relaxed structure of TaVMo2W.

Output
Theoretical density   11.49 g/cm3
DOS(E_F)   1.21 states/eV per atom
Raw total energy   -208.53 eV/cell

a = 2.9805 Å, b = 15.9559 Å, c = 7.3869 Å
α = 90.00°, β = 90.00°, γ = 90.00°
Closest atoms and distances in Å follow each position.
Space group Cmcm (No. 63)
Unique sites:
Ta: 0.0000 0.0895 0.2500  4 W 2.77, 2 V 2.88, 4 Mo 2.92, 2 Ta 2.98
V: 0.0000 0.2560 0.7500  6 Mo 2.54-2.56
Mo: 0.0000 0.3355 0.0482  3 V 2.54-2.56, 1 W 2.65
W: 0.0000 0.5000 0.0000  2 Mo 2.65, 4 Ta 2.77

---

[8]
VASP calculation (PBE) on a relaxed structure of TaVMoW.

Output
Theoretical density   13.00 g/cm3
DOS(E_F)   1.04 states/eV per atom
Raw total energy   -87.33 eV/cell

a = 5.4051 Å, b = 2.6363 Å, c = 9.1751 Å
α = 90.00°, β = 90.14°, γ = 90.00°
Closest atoms and distances in Å follow each position.
Space group Cm (No. 8)
Unique sites:
Ta: 0.0000 0.0000 0.0000  2 Ta 2.64, 3 V 2.68-2.94, 1 Mo 2.75
V: 0.2422 0.5000 0.2487  3 W 2.60-2.88, 2 V 2.64, 1 Ta 2.68
Mo: 0.2475 0.5000 0.7390  2 Mo 2.64, 3 W 2.70-2.95, 1 Ta 2.75
W: 0.4856 0.0000 0.4886  3 V 2.60-2.88, 2 W 2.64, 1 Mo 2.70

---

> Which formula does entry 6 have?

TaV2Mo6W2